# PBE-GGA Fe5Pd2Pt5, relaxed
data_Fe5Pd2Pt5
_chemical_formula_sum 'Fe10 Pd4 Pt10'
_cell_length_a 13.9520
_cell_length_b 2.7462
_cell_length_c 10.2813
_cell_angle_alpha 90.00
_cell_angle_beta 118.79
_cell_angle_gamma 90.00
_space_group_name_H-M_alt 'C 1 2/m 1'
_space_group_IT_number 12
loop_
_space_group_symop_operation_xyz
'x,y,z'
'-x,-y,-z'
'-x,y,-z'
'x,-y,z'
'x+1/2,y+1/2,z'
'-x+1/2,-y+1/2,-z'
'-x+1/2,y+1/2,-z'
'x+1/2,-y+1/2,z'
loop_
_atom_site_label
_atom_site_type_symbol
_atom_site_fract_x
_atom_site_fract_y
_atom_site_fract_z
_atom_site_occupancy
Fe1 Fe 0.0000 0.0000 0.0000 1
Fe2 Fe 0.1642 0.0000 0.4910 1
Fe3 Fe 0.1975 0.5000 0.7432 1
Pd1 Pd 0.0375 0.0000 0.7521 1
Pt1 Pt 0.0000 0.5000 0.5000 1
Pt2 Pt 0.1423 0.5000 0.2604 1
Pt3 Pt 0.1680 0.5000 0.0125 1
# **V**: 345.2 Å³ per cell
# **Formation enthalpy at 0 K**: -0.156 eV per atom
# **Calculated density**: 14.12 g/cm3
# **Crystal system**: monoclinic